No. 1
First-principles (PBE-GGA) data for a geometry-optimized ZnCo2Se structure, as listed in Alexandria.

Results
raw formation energy = 0.195 eV per atom
size of the total moment = 1.89 μB/f.u.
calculated volume = 12.836 A^3/atom
E above lowest polymorph = 0.32 eV per formula unit

```
data_ZnCo2Se
_symmetry_space_group_name_H-M 'F m -3 m'
_symmetry_Int_Tables_number 225
_symmetry_space_group_name_Hall '-F 4 2 3'
_cell_length_a 5.9000
_cell_length_b 5.9000
_cell_length_c 5.9000
_cell_angle_alpha 90.00
_cell_angle_beta 90.00
_cell_angle_gamma 90.00
loop_
_atom_site_label
_atom_site_type_symbol
_atom_site_fract_x
_atom_site_fract_y
_atom_site_fract_z
_atom_site_occupancy
Zn1 Zn 0.0000 0.0000 0.0000 1
Co1 Co 0.2500 0.2500 0.2500 1
Se1 Se 0.0000 0.0000 0.5000 1
```



No. 2
First-principles (PBE-GGA) data for a geometry-optimized ZnCoSe2 structure, as listed in Alexandria.

Results
raw formation energy = 0.579 eV per atom
size of the total moment = 1.55 μB/f.u.
calculated volume = 16.991 A^3/atom

```
data_ZnCoSe2
_symmetry_space_group_name_H-M 'F -4 3 m'
_symmetry_Int_Tables_number 216
_symmetry_space_group_name_Hall 'F -4 2 3'
_cell_length_a 6.4781
_cell_length_b 6.4781
_cell_length_c 6.4781
_cell_angle_alpha 90.00
_cell_angle_beta 90.00
_cell_angle_gamma 90.00
loop_
_atom_site_label
_atom_site_type_symbol
_atom_site_fract_x
_atom_site_fract_y
_atom_site_fract_z
_atom_site_occupancy
Zn1 Zn 0.0000 0.0000 0.0000 1
Co1 Co 0.2500 0.2500 0.7500 1
Se1 Se 0.0000 0.0000 0.5000 1
Se2 Se 0.2500 0.2500 0.2500 1
```



No. 3
First-principles (PBE-GGA) data for a geometry-optimized Zn2CoSe structure, as listed in Alexandria.

Results
raw formation energy = -0.047 eV per atom
size of the total moment = 0.00 μB/f.u.
calculated volume = 17.350 A^3/atom

```
data_Zn2CoSe
_symmetry_space_group_name_H-M 'C 1 m 1'
_symmetry_Int_Tables_number 8
_cell_length_a 8.6724
_cell_length_b 2.8263
_cell_length_c 5.9709
_cell_angle_alpha 90.00
_cell_angle_beta 108.48
_cell_angle_gamma 90.00
loop_
_symmetry_equiv_pos_as_xyz
'x,y,z'
'x,-y,z'
'x+1/2,y+1/2,z'
'x+1/2,-y+1/2,z'
loop_
_atom_site_label
_atom_site_type_symbol
_atom_site_fract_x
_atom_site_fract_y
_atom_site_fract_z
_atom_site_occupancy
Zn1 Zn 0.0000 0.0000 0.0000 1
Zn2 Zn 0.2150 0.0000 0.7468 1
Co1 Co 0.4666 0.0000 0.6456 1
Se1 Se 0.3696 0.5000 0.3252 1
```



No. 4
First-principles (PBE-GGA) data for a geometry-optimized Zn2CoSe structure, as listed in Alexandria.

Results
raw formation energy = 0.110 eV per atom
size of the total moment = 0.40 μB/f.u.
calculated volume = 16.164 A^3/atom

```
data_Zn2CoSe
_symmetry_space_group_name_H-M 'P 4/m m m'
_symmetry_Int_Tables_number 123
_symmetry_space_group_name_Hall '-P 4 2'
_cell_length_a 2.7867
_cell_length_b 2.7867
_cell_length_c 8.3256
_cell_angle_alpha 90.00
_cell_angle_beta 90.00
_cell_angle_gamma 90.00
loop_
_atom_site_label
_atom_site_type_symbol
_atom_site_fract_x
_atom_site_fract_y
_atom_site_fract_z
_atom_site_occupancy
Zn1 Zn 0.0000 0.0000 0.1830 1
Co1 Co 0.5000 0.5000 0.0000 1
Se1 Se 0.5000 0.5000 0.5000 1
```



No. 5
First-principles (PBE-GGA) data for a geometry-optimized Zn2CoSe structure, as listed in Alexandria.

Results
raw formation energy = 0.219 eV per atom
size of the total moment = 0.71 μB/f.u.
calculated volume = 15.151 A^3/atom

```
data_Zn2CoSe
_symmetry_space_group_name_H-M 'P 1 2/m 1'
_symmetry_Int_Tables_number 10
_cell_length_a 2.9881
_cell_length_b 4.8303
_cell_length_c 4.2023
_cell_angle_alpha 90.00
_cell_angle_beta 92.35
_cell_angle_gamma 90.00
loop_
_symmetry_equiv_pos_as_xyz
'x,y,z'
'-x,-y,-z'
'-x,y,-z'
'x,-y,z'
loop_
_atom_site_label
_atom_site_type_symbol
_atom_site_fract_x
_atom_site_fract_y
_atom_site_fract_z
_atom_site_occupancy
Zn1 Zn 0.2491 0.0000 0.2600 1
Co1 Co 0.5000 0.5000 0.5000 1
Se1 Se 0.0000 0.5000 0.0000 1
```



No. 6
First-principles (PBE-GGA) data for a geometry-optimized ZnCoSe2 structure, as listed in Alexandria.

Results
raw formation energy = -0.138 eV per atom
size of the total moment = 1.01 μB/f.u.
calculated volume = 23.254 A^3/atom

```
data_ZnCoSe2
_symmetry_space_group_name_H-M 'C 1 m 1'
_symmetry_Int_Tables_number 8
_cell_length_a 8.7239
_cell_length_b 3.4544
_cell_length_c 6.2379
_cell_angle_alpha 90.00
_cell_angle_beta 98.27
_cell_angle_gamma 90.00
loop_
_symmetry_equiv_pos_as_xyz
'x,y,z'
'x,-y,z'
'x+1/2,y+1/2,z'
'x+1/2,-y+1/2,z'
loop_
_atom_site_label
_atom_site_type_symbol
_atom_site_fract_x
_atom_site_fract_y
_atom_site_fract_z
_atom_site_occupancy
Zn1 Zn 0.0000 0.0000 0.0000 1
Co1 Co 0.2837 0.0000 0.0681 1
Se1 Se 0.1811 0.5000 0.8242 1
Se2 Se 0.3562 0.5000 0.3127 1
```



No. 7
First-principles (PBE-GGA) data for a geometry-optimized ZnCoSe2 structure, as listed in Alexandria.

Results
raw formation energy = 0.126 eV per atom
size of the total moment = 2.02 μB/f.u.
calculated volume = 23.364 A^3/atom

```
data_ZnCoSe2
_symmetry_space_group_name_H-M 'I m m m'
_symmetry_Int_Tables_number 71
_symmetry_space_group_name_Hall '-I 2 2'
_cell_length_a 3.4566
_cell_length_b 7.0871
_cell_length_c 7.6299
_cell_angle_alpha 90.00
_cell_angle_beta 90.00
_cell_angle_gamma 90.00
loop_
_atom_site_label
_atom_site_type_symbol
_atom_site_fract_x
_atom_site_fract_y
_atom_site_fract_z
_atom_site_occupancy
Zn1 Zn 0.0000 0.0000 0.0000 1
Co1 Co 0.0000 0.5000 0.0000 1
Se1 Se 0.0000 0.2302 0.5000 1
```



No. 8
First-principles (PBE-GGA) data for a geometry-optimized ZnCoSe2 structure, as listed in Alexandria.

Results
raw formation energy = -0.190 eV per atom
size of the total moment = 0.00 μB/f.u.
calculated volume = 17.196 A^3/atom

```
data_ZnCoSe2
_symmetry_space_group_name_H-M 'R -3 m'
_symmetry_Int_Tables_number 166
_symmetry_space_group_name_Hall '-R 3 2"'
_cell_length_a 3.5986
_cell_length_b 3.5986
_cell_length_c 18.3968
_cell_angle_alpha 90.00
_cell_angle_beta 90.00
_cell_angle_gamma 120.00
loop_
_atom_site_label
_atom_site_type_symbol
_atom_site_fract_x
_atom_site_fract_y
_atom_site_fract_z
_atom_site_occupancy
Zn1 Zn 0.0000 0.0000 0.0000 1
Co1 Co 0.0000 0.0000 0.5000 1
Se1 Se 0.0000 0.0000 0.2365 1
```



No. 9
First-principles (PBE-GGA) data for a geometry-optimized Zn2CoSe structure, as listed in Alexandria.

Results
raw formation energy = -0.066 eV per atom
size of the total moment = 0.00 μB/f.u.
calculated volume = 16.290 A^3/atom

```
data_Zn2CoSe
_symmetry_space_group_name_H-M 'I m m 2'
_symmetry_Int_Tables_number 44
_cell_length_a 2.7807
_cell_length_b 4.1274
_cell_length_c 11.3548
_cell_angle_alpha 90.00
_cell_angle_beta 90.00
_cell_angle_gamma 90.00
loop_
_symmetry_equiv_pos_as_xyz
'x,y,z'
'-x,-y,z'
'-x,y,z'
'x,-y,z'
'x+1/2,y+1/2,z+1/2'
'-x+1/2,-y+1/2,z+1/2'
'-x+1/2,y+1/2,z+1/2'
'x+1/2,-y+1/2,z+1/2'
loop_
_atom_site_label
_atom_site_type_symbol
_atom_site_fract_x
_atom_site_fract_y
_atom_site_fract_z
_atom_site_occupancy
Zn1 Zn 0.0000 0.0000 0.0000 1
Zn2 Zn 0.0000 0.5000 0.1583 1
Co1 Co 0.0000 0.0000 0.4740 1
Se1 Se 0.0000 0.5000 0.8074 1
```



No. 10
First-principles (PBE-GGA) data for a geometry-optimized ZnCo2Se structure, as listed in Alexandria.

Results
raw formation energy = 0.197 eV per atom
size of the total moment = 2.02 μB/f.u.
calculated volume = 13.906 A^3/atom
E above lowest polymorph = 0.33 eV per formula unit

```
data_ZnCo2Se
_symmetry_space_group_name_H-M 'P m m m'
_symmetry_Int_Tables_number 47
_cell_length_a 2.8626
_cell_length_b 3.6489
_cell_length_c 5.3252
_cell_angle_alpha 90.00
_cell_angle_beta 90.00
_cell_angle_gamma 90.00
loop_
_symmetry_equiv_pos_as_xyz
'x,y,z'
'-x,-y,-z'
'-x,-y,z'
'x,y,-z'
'x,-y,-z'
'-x,y,z'
'-x,y,-z'
'x,-y,z'
loop_
_atom_site_label
_atom_site_type_symbol
_atom_site_fract_x
_atom_site_fract_y
_atom_site_fract_z
_atom_site_occupancy
Zn1 Zn 0.0000 0.0000 0.0000 1
Co1 Co 0.5000 0.5000 0.2246 1
Se1 Se 0.5000 0.0000 0.5000 1
```



No. 11
First-principles (PBE-GGA) data for a geometry-optimized ZnCo2Se structure, as listed in Alexandria.

Results
raw formation energy = 0.173 eV per atom
size of the total moment = 1.74 μB/f.u.
calculated volume = 13.678 A^3/atom
E above lowest polymorph = 0.24 eV per formula unit

```
data_ZnCo2Se
_symmetry_space_group_name_H-M 'P 1 m 1'
_symmetry_Int_Tables_number 6
_cell_length_a 2.9114
_cell_length_b 4.3475
_cell_length_c 4.3229
_cell_angle_alpha 90.00
_cell_angle_beta 90.76
_cell_angle_gamma 90.00
loop_
_symmetry_equiv_pos_as_xyz
'x,y,z'
'x,-y,z'
loop_
_atom_site_label
_atom_site_type_symbol
_atom_site_fract_x
_atom_site_fract_y
_atom_site_fract_z
_atom_site_occupancy
Zn1 Zn 0.0000 0.0000 0.0000 1
Co1 Co 0.0031 0.5000 0.6991 1
Co2 Co 0.4979 0.0000 0.5257 1
Se1 Se 0.4935 0.5000 0.2833 1
```



No. 12
First-principles (PBE-GGA) data for a geometry-optimized ZnCoSe2 structure, as listed in Alexandria.

Results
raw formation energy = -0.080 eV per atom
size of the total moment = 2.19 μB/f.u.
calculated volume = 20.726 A^3/atom

```
data_ZnCoSe2
_symmetry_space_group_name_H-M 'P 4 m m'
_symmetry_Int_Tables_number 99
_cell_length_a 3.4841
_cell_length_b 3.4841
_cell_length_c 6.8296
_cell_angle_alpha 90.00
_cell_angle_beta 90.00
_cell_angle_gamma 90.00
loop_
_symmetry_equiv_pos_as_xyz
'x,y,z'
'-y,x,z'
'-x,-y,z'
'y,-x,z'
'-x,y,z'
'y,x,z'
'x,-y,z'
'-y,-x,z'
loop_
_atom_site_label
_atom_site_type_symbol
_atom_site_fract_x
_atom_site_fract_y
_atom_site_fract_z
_atom_site_occupancy
Zn1 Zn 0.0000 0.0000 0.0000 1
Co1 Co 0.5000 0.5000 0.2612 1
Se1 Se 0.0000 0.0000 0.3690 1
Se2 Se 0.5000 0.5000 0.8920 1
```